The following is a PBE calculation of crystalline ZrGaSe2 at its relaxed geometry, from Alexandria via LeMat-Bulk.

Geometry as extended XYZ:
```
4
Lattice="1.8579 1.0727 7.8807 -1.8579 1.0727 7.8807 0.0000 -2.1453 7.8807" Properties=species:S:1:pos:R:3 pbc="T T T"
Zr 0.0000 0.0000 0.0000
Ga 0.0000 0.0000 19.7931
Se 0.0000 0.0000 9.5667
Se 0.0000 0.0000 14.0475
```

## Properties
Volume in Å³/f.u.: 94
Uncorrected formation energy in eV/atom: -0.904
Space-group type: R3m